A relaxed structure of Nd2ScTl, computed with PBE-GGA.

Cell: 3.572 3.572 11.257 Å, 80.87 80.87 60.00°
Positions (direct):
Nd  0.249  0.249  0.254
Nd  0.085  0.085  0.746
Sc  0.500  0.500  0.500
Tl  0.667  0.667  0.000

Volume in Å³ per cell: 122.3
Formation energy from the elements in eV per formula unit: -0.241
Offset from the most stable computed form in meV per atom: 113
Symmetry: R3m (160)
E_tot in eV per atom: -4.6186